# GGA-PBEsol CaBi2B, optimized geometry
# DOS(E_F): 7.251 states/eV per cell
# uncorrected energy: -4.288 eV per atom
data_CaBi2B
_chemical_formula_sum 'Ca4 Bi8 B4'
_symmetry_space_group_name_H-M 'I -4 2 d'
_symmetry_Int_Tables_number 122
_symmetry_space_group_name_Hall 'I -4 2bw'
_cell_length_a 7.420
_cell_length_b 7.420
_cell_length_c 7.379
_cell_angle_alpha 90.00
_cell_angle_beta 90.00
_cell_angle_gamma 90.00
loop_
_atom_site_label
_atom_site_fract_x
_atom_site_fract_y
_atom_site_fract_z
_atom_site_occupancy
Ca1 0.000 0.000 0.000 1
Bi1 0.164 0.750 0.625 1
B1 0.000 0.000 0.500 1